# BaYFe4O7 GGA-PBEsol optimized geometry
data_BaYFe4O7
_chemical_formula_sum 'Ba1 Y1 Fe4 O7'
_cell_length_a 6.3039
_cell_length_b 6.3039
_cell_length_c 6.3039
_cell_angle_alpha 121.12
_cell_angle_beta 121.12
_cell_angle_gamma 88.08
_space_group_name_H-M_alt 'P 1'
_space_group_IT_number 1
_space_group_name_Hall 'P 1'
loop_
_atom_site_label
_atom_site_type_symbol
_atom_site_fract_x
_atom_site_fract_y
_atom_site_fract_z
Ba1 Ba 0.0000 0.0000 0.0000
Y1 Y 0.2500 0.7500 0.5000
Fe1 Fe 0.0956 0.3465 0.7146
Fe2 Fe 0.6190 0.9044 0.2509
Fe3 Fe 0.6319 0.3810 0.2854
Fe4 Fe 0.6535 0.3681 0.7491
O1 O 0.0037 0.5037 0.5000
O2 O 0.0237 0.4268 0.0052
O3 O 0.4216 0.0186 0.9948
O4 O 0.4963 0.9963 0.5000
O5 O 0.5000 0.5000 0.0000
O6 O 0.5732 0.5784 0.5970
O7 O 0.9814 0.9763 0.4030
# E	-8.052	eV/atom
# SG	I-4, No. 82
# polymorph energy (0 for the lowest one)	0	kJ/mol of formula units
# M_tot	1.308	μB per atom
# formation energy from raw total energies	-1.778	eV per atom